First-principles (PBE) data for a relaxed CdFeAg crystal, as listed in the Alexandria database.

```
3
Lattice="6.4643 0.0207 -0.0214 5.8202 2.8120 0.0003 0.6441 0.1249 2.7886" Properties=species:S:1:pos:R:3 pbc="T T T"
Cd 4.4345 1.0066 1.8736
Ag 0.7643 0.1528 2.7595
Fe 8.3738 1.9229 0.9228
```

Summary:
Excess energy over the best structure of this formula in the dataset = 0 meV per atom
SG = I4mm, No. 107
Formation energy = 79 kJ/mol of formula units

=====

First-principles (PBE) data for a relaxed LiCoSb2 crystal, as listed in the Alexandria database.

```
4
Lattice="4.8143 -0.1134 0.0000 -0.7516 4.7566 0.0000 0.0000 0.0000 3.2245" Properties=species:S:1:pos:R:3 pbc="T T T"
Sb 0.0000 0.0000 0.0000
Li -0.3758 2.3783 1.6123
Sb 2.0313 2.3216 0.0000
Co 2.4071 -0.0567 1.6123
```

Summary:
Excess energy over the best structure of this formula in the dataset = 219 meV per atom
SG = Cmmm, No. 65
ΔE_f (raw) = 1.52 kcal/mol of atoms

=====

First-principles (PBE) data for a relaxed TiCl3 crystal, as listed in the Alexandria database.

```
8
Lattice="-1.7779 7.4708 4.4440 -7.5316 -3.5887 3.0199 -3.4627 1.0712 5.6713" Properties=species:S:1:pos:R:3 pbc="T T T"
Cl -4.6547 1.9411 3.7319
Cl -4.3336 7.2541 8.2144
Cl -7.3081 5.3162 7.6424
Ti 0.0000 0.0000 0.0000
Cl -4.9657 2.7940 6.6023
Cl -7.8245 -0.2883 6.2115
Ti -4.9477 5.2415 6.9236
Cl -3.1833 5.6018 5.2350
```

Summary:
SG = I-42d, No. 122
ΔE_f (raw) = -30.43 kcal/mol of atoms

=====

First-principles (PBE) data for a relaxed GdLuScSn crystal, as listed in the Alexandria database.

```
4
Lattice="5.2556 0.0000 0.0000 2.6278 4.5514 0.0000 2.6278 1.5171 4.2911" Properties=species:S:1:pos:R:3 pbc="T T T"
Gd 0.0000 0.0000 0.0000
Sn 2.6278 1.5171 1.0728
Lu 7.8833 4.5514 3.2184
Sc 5.2556 3.0343 2.1456
```

Summary:
SG = F-43m, No. 216
Formation energy = -94 kJ/mol of formula units

=====

First-principles (PBE) data for a relaxed Ca3TbSm4Se8 crystal, as listed in the Alexandria database.

```
16
Lattice="8.2997 0.0000 0.0000 0.0000 8.3736 0.0468 -4.1499 -4.1450 5.8723" Properties=species:S:1:pos:R:3 pbc="T T T"
Tb 0.0000 4.1868 0.0234
Ca -2.0749 2.1143 2.9595
Ca 2.0749 2.1143 2.9595
Se 0.0000 4.1810 2.9445
Ca 4.1499 4.1868 0.0234
Sm 0.0000 0.0000 0.0000
Se -2.0818 2.1027 5.8887
Se 4.1499 4.1923 2.9589
Se 2.0681 2.1258 0.0304
Se 2.0818 2.1027 5.8887
Se 4.1499 0.0475 2.9746
Se 6.2316 2.1258 0.0304
Se 0.0000 0.0363 2.9601
Sm -2.0749 -2.0725 2.9362
Sm 4.1499 0.0000 0.0000
Sm 2.0749 -2.0725 2.9362
```

Summary:
SG = R-3m, No. 166
ΔE_f (raw) = -43.15 kcal/mol of atoms

=====

First-principles (PBE) data for a relaxed Hg4Ir crystal, as listed in the Alexandria database.

```
5
Lattice="-3.4969 3.4969 2.0918 3.4969 -3.4969 2.0918 3.4969 3.4969 -2.0918" Properties=species:S:1:pos:R:3 pbc="T T T"
Hg 2.0235 0.7141 2.0918
Ir 0.0000 0.0000 0.0000
Hg 1.4734 2.7828 0.0000
Hg 4.2110 1.4734 0.0000
Hg -0.7141 2.0235 2.0918
```

Summary:
SG = I4/m, No. 87
Formation energy = 208 kJ/mol of formula units

=====

First-principles (PBE) data for a relaxed InRhCl2 crystal, as listed in the Alexandria database.

```
4
Lattice="8.8410 -0.0257 -0.0152 8.1541 3.4167 -0.0152 8.1541 1.6270 3.0045" Properties=species:S:1:pos:R:3 pbc="T T T"
Rh 18.9663 3.7844 2.2429
Cl 0.7007 0.1398 0.0829
In 12.3402 2.4623 1.4593
Cl 5.7164 1.1406 0.6760
```

Summary:
Excess energy over the best structure of this formula in the dataset = 72 meV per atom
SG = R3m, No. 160
ΔE_f (raw) = -8.59 kcal/mol of atoms

=====

First-principles (PBE) data for a relaxed TbYSb crystal, as listed in the Alexandria database.

```
6
Lattice="-2.0543 -2.7443 2.0527 5.8708 -4.3337 -3.8073 -10.0838 16.3695 11.7932" Properties=species:S:1:pos:R:3 pbc="T T T"
Sb -0.0387 1.2007 1.5666
Y 0.3902 -2.0063 1.5969
Tb -3.6649 7.6135 6.5110
Sb -6.2286 8.0907 8.4720
Y -6.6574 11.2978 8.4417
Tb -2.6024 1.6779 3.5276
```

Summary:
SG = C2/m, No. 12
ΔE_f (raw) = -14.90 kcal/mol of atoms

=====

First-principles (PBE) data for a relaxed LiYSb2 crystal, as listed in the Alexandria database.

```
4
Lattice="5.4189 -0.0105 0.0000 0.9224 5.3398 0.0000 -3.1706 -2.6647 3.4944" Properties=species:S:1:pos:R:3 pbc="T T T"
Sb 0.0000 0.0000 0.0000
Y 0.4612 2.6699 1.7472
Li 2.7094 -0.0052 1.7472
Sb 3.1706 2.6647 0.0000
```

Summary:
Excess energy over the best structure of this formula in the dataset = 188 meV per atom
SG = I4/mmm, No. 139
ΔE_f (raw) = -14.08 kcal/mol of atoms

=====

First-principles (PBE) data for a relaxed AcPmAu2 crystal, as listed in the Alexandria database.

```
4
Lattice="3.7933 0.0000 0.0000 0.0000 3.7933 0.0000 0.0000 0.0000 7.6158" Properties=species:S:1:pos:R:3 pbc="T T T"
Ac 1.8967 1.8967 0.0000
Pm 1.8967 1.8967 3.8079
Au 0.0000 0.0000 5.5067
Au 0.0000 0.0000 2.1090
```

Summary:
Excess energy over the best structure of this formula in the dataset = 26 meV per atom
SG = P4/mmm, No. 123
Formation energy = -298 kJ/mol of formula units

=====

First-principles (PBE) data for a relaxed Ac2PmUP4 crystal, as listed in the Alexandria database.

```
8
Lattice="-0.4660 -2.3841 -3.4375 -4.3250 -4.5390 3.7343 -4.1284 5.2672 -3.0935" Properties=species:S:1:pos:R:3 pbc="T T T"
P -2.1431 -1.0853 -1.5339
Pm -2.3955 -3.4615 0.1484
U 0.0000 0.0000 0.0000
P -4.1838 -2.2343 2.1167
Ac -2.2972 1.4416 -3.2655
Ac -4.2267 0.3641 0.3204
P -4.2695 2.9625 -1.4759
P -6.7762 -0.5706 -1.2628
```

Summary:
SG = P2/m, No. 10
Formation energy = -1017 kJ/mol of formula units

=====

First-principles (PBE) data for a relaxed Ba2La2Tl crystal, as listed in the Alexandria database.

```
10
Lattice="8.4036 0.0000 0.0000 0.0000 8.4036 0.0000 0.0000 0.0000 6.1352" Properties=species:S:1:pos:R:3 pbc="T T T"
La 5.2689 1.0671 0.0000
La 3.1347 7.3364 0.0000
La 1.0671 3.1347 0.0000
Ba 5.6830 6.9223 3.0676
La 7.3364 5.2689 0.0000
Tl 4.2018 4.2018 0.0000
Ba 1.4812 5.6830 3.0676
Tl 0.0000 0.0000 0.0000
Ba 6.9223 2.7205 3.0676
Ba 2.7205 1.4812 3.0676
```

Summary:
SG = P4/mbm, No. 127
Formation energy = 31 kJ/mol of formula units

=====

no.,V (Å³/cell)
1,50.4
2,73.6
3,191.8
4,102.6
5,409.7
6,102.3
7,91.8
8,169.2
9,101.1
10,109.6
11,214.0
12,433.3